Record 1
VASP calculation (PBE) on TaTe2Cl after structural relaxation.

Cell lengths 3.1811, 3.1811, 11.6786 Å; angles 90.00, 90.00, 115.95 degrees
With the nearest neighbours (Å) after each atom.
Positions (direct):
Ta 0.5000 0.5000 0.7432  2 Cl 2.54, 2 Te 2.84
Te 0.5000 0.5000 0.2371  6 Te 3.18-3.37
Te 0.0000 0.0000 0.9386  2 Ta 2.84
Cl 0.0000 0.0000 0.5811  2 Ta 2.54

## Properties
- total energy (Ry per atom) = -0.36872
- M_tot (μB/atom) = 0.000
- E_form (uncorrected) (eV per atom) = -0.021

Record 2
VASP calculation (PBE) on TaTe2Cl after structural relaxation.

Cell lengths 7.4724, 7.4724, 7.6583 Å; angles 55.00, 55.00, 25.20 degrees
With the nearest neighbours (Å) after each atom.
Positions (direct):
Te 0.9060 0.9060 0.1091  2 Ta 2.77
Te 0.7421 0.7421 0.8462  2 Ta 2.76
Ta 0.2455 0.2455 0.1340  2 Cl 2.49, 4 Te 2.76-2.77
Cl 0.6064 0.6064 0.4107  2 Ta 2.49

## Properties
- total energy (Ry per atom) = -0.40308
- M_tot (μB/atom) = 0.000
- E_form (uncorrected) (eV per atom) = -0.489

Record 3
VASP calculation (PBE) on Ta2TeCl after structural relaxation.

Cell lengths 8.8849, 8.8849, 8.8849 Å; angles 20.61, 20.61, 20.61 degrees
With the nearest neighbours (Å) after each atom.
Positions (direct):
Cl 0.7500 0.7500 0.7500  6 Ta 2.83
Ta 0.4992 0.4992 0.4992  3 Cl 2.83, 3 Te 2.86
Ta 0.0008 0.0008 0.0008  3 Cl 2.83, 3 Te 2.86
Te 0.2500 0.2500 0.2500  6 Ta 2.86, 6 Te 3.18

## Properties
- total energy (Ry per atom) = -0.50426
- M_tot (μB/atom) = 0.000
- E_form (uncorrected) (eV per atom) = 0.313

Record 4
VASP calculation (PBE) on TaTe2Cl after structural relaxation.

Cell lengths 12.0037, 12.0037, 12.0037 Å; angles 14.94, 14.94, 14.94 degrees
With the nearest neighbours (Å) after each atom.
Positions (direct):
Cl 0.5000 0.5000 0.5000  6 Cl 3.12
Te 0.0800 0.0800 0.0800  1 Ta 2.85, 6 Te 3.12
Te 0.9200 0.9200 0.9200  1 Ta 2.85, 6 Te 3.12
Ta 0.0000 0.0000 0.0000  2 Te 2.85, 6 Ta 3.12

## Properties
- total energy (Ry per atom) = -0.33089
- M_tot (μB/atom) = 0.000
- E_form (uncorrected) (eV per atom) = 0.494

Record 5
VASP calculation (PBE) on Ta2TeCl after structural relaxation.

Cell lengths 4.3859, 2.9954, 6.7970 Å; angles 67.72, 90.00, 90.00 degrees
With the nearest neighbours (Å) after each atom.
Positions (direct):
Te 0.0000 0.4657 0.4757  4 Ta 2.89-3.20, 2 Te 3.00
Ta 0.0000 0.9440 0.9834  2 Cl 2.65, 2 Ta 2.84
Ta 0.5000 0.3844 0.2139  1 Cl 2.43
Cl 0.5000 0.7060 0.8270  3 Ta 2.43-2.65

## Properties
- total energy (Ry per atom) = -0.51712
- M_tot (μB/atom) = 0.000
- E_form (uncorrected) (eV per atom) = 0.138

Record 6
VASP calculation (PBE) on TaTe2Cl after structural relaxation.

Cell lengths 11.2263, 11.2263, 11.2263 Å; angles 17.13, 17.13, 17.13 degrees
With the nearest neighbours (Å) after each atom.
Positions (direct):
Te 0.7520 0.7520 0.7520  6 Te 3.34
Te 0.9732 0.9732 0.9732  3 Ta 2.78
Cl 0.5287 0.5287 0.5287  3 Ta 2.56
Ta 0.2461 0.2461 0.2461  3 Cl 2.56, 3 Te 2.78

## Properties
- total energy (Ry per atom) = -0.38684
- M_tot (μB/atom) = 0.019
- E_form (uncorrected) (eV per atom) = -0.268